An optimized crystal structure of SbRuPt2. Source: Alexandria via LeMat-Bulk, functional GGA-PBE.

abc: 5.5512 5.5512 5.5512
angles: 148.64 130.91 59.42
Sites, in units of the cell vectors:
Sb 0.0000 0.0000 0.0000
Ru 0.5000 0.5000 0.0000
Pt 0.2423 0.7423 0.5000
Pt 0.7577 0.2577 0.5000

Energy relative to the elements, uncorrected   8 kJ/mol of atoms
Magnetization   0.071 μB per atom
E   -25.15 eV per formula unit
Space group   Immm



An optimized crystal structure of HfAlAu2. Source: Alexandria via LeMat-Bulk, functional GGA-PBE.

abc: 9.5444 9.5444 9.5444
angles: 154.38 154.38 36.55
Sites, in units of the cell vectors:
Hf 0.0000 0.0000 0.0000
Hf 0.7500 0.2500 0.5000
Al 0.2500 0.7500 0.5000
Al 0.5000 0.5000 0.0000
Au 0.1469 0.6250 0.0219
Au 0.3750 0.3969 0.5219
Au 0.6031 0.1250 0.9781
Au 0.8750 0.8531 0.4781

ΔH_f (0 K)   -116 meV/atom
Magnetization   0.000 μB per atom
E   -20.71 eV per formula unit
Space group   I-42d



An optimized crystal structure of Ag6BiAu. Source: Alexandria via LeMat-Bulk, functional GGA-PBE.

abc: 4.3739 4.3739 8.1474
angles: 90.00 90.00 90.00
Sites, in units of the cell vectors:
Ag 0.0000 0.0000 0.0000
Ag 0.0000 0.0000 0.5000
Ag 0.0000 0.5000 0.2334
Ag 0.0000 0.5000 0.7666
Ag 0.5000 0.0000 0.2334
Ag 0.5000 0.0000 0.7666
Bi 0.5000 0.5000 0.5000
Au 0.5000 0.5000 0.0000

ΔH_f (0 K)   27 meV/atom
Magnetization   0.000 μB per atom
Distance to the lowest polymorph of the same formula   0 meV/atom
E   -24.05 eV per formula unit
Space group   P4/mmm